# 1
The following is a PBE calculation of a relaxed structure of AlInPb2, from the Alexandria database.

abc: 3.444 3.444 9.236
angles: 90.00 90.00 90.00
Space group P4/mmm (No. 123)
One atom of each set of equivalent atoms:
Al: 0.000 0.000 0.000
In: 0.000 0.000 0.500
Pb: 0.500 0.500 0.222

The value obtained for the calculated formation energy is 0.150 eV/atom. The calculation puts the energy relative to the lowest polymorph listed for this composition at 19 meV/atom. As for the density: 8.4 Mg/m³.

***

# 2
The following is a PBE calculation of a relaxed structure of Ba2CaPd, from the Alexandria database.

abc: 8.503 8.503 8.503
angles: 90.00 90.00 90.00
Space group Fm-3m (No. 225)
One atom of each set of equivalent atoms:
Ba: 0.250 0.250 0.250
Ca: 0.000 0.000 0.000
Pd: 0.000 0.000 0.500

The value obtained for the calculated formation energy is 0.041 eV/atom. The calculation puts the energy relative to the lowest polymorph listed for this composition at 389 meV/atom. As for the density: 4.5 Mg/m³.

***

# 3
The following is a PBE calculation of a relaxed structure of NaCdHg2Pd, from the Alexandria database.

abc: 5.312 5.312 5.228
angles: 90.00 90.00 90.00
Space group P4/mmm (No. 123)
One atom of each set of equivalent atoms:
Na: 0.000 0.000 0.000
Cd: 0.500 0.500 0.000
Hg: 0.000 0.500 0.500
Pd: 0.500 0.500 0.500

The value obtained for the calculated formation energy is -0.108 eV/atom. As for the density: 7.2 Mg/m³.

***

# 4
The following is a PBE calculation of a relaxed structure of Sr3Ga2AgAu6, from the Alexandria database.

abc: 6.3677 6.3677 8.7941
angles: 90.00 90.00 120.00
Space group P-3m1 (No. 164)
One atom of each set of equivalent atoms:
Sr: 0.0000 0.0000 0.0000
Sr: 0.3333 0.6667 0.6309
Ga: 0.3333 0.6667 0.0471
Ag: 0.0000 0.0000 0.5000
Au: 0.1782 0.3564 0.2796

The value obtained for the calculated formation energy is -0.434 eV/atom. As for the density: 9.1 Mg/m³.

***

# 5
The following is a PBE calculation of a relaxed structure of DyTiSi2Os, from the Alexandria database.

abc: 3.993 3.993 10.776
angles: 90.00 90.00 90.00
Space group I-4m2 (No. 119)
One atom of each set of equivalent atoms:
Dy: 0.000 0.000 0.000
Ti: 0.000 0.500 0.250
Si: 0.000 0.000 0.389
Os: 0.000 0.500 0.750

As for the density: 8.8 Mg/m³. Its raw formation energy is -0.79 eV per atom.

***

# 6
The following is a PBE calculation of a relaxed structure of MgTi2I, from the Alexandria database.

abc: 6.851 6.851 6.851
angles: 90.00 90.00 90.00
Space group Fm-3m (No. 225)
One atom of each set of equivalent atoms:
Mg: 0.000 0.000 0.000
Ti: 0.250 0.250 0.250
I: 0.000 0.000 0.500

The calculation puts the energy relative to the lowest polymorph listed for this composition at 22 meV/atom. As for the density: 5.1 Mg/m³. Its raw formation energy is 0.50 eV per atom.

***

# 7
The following is a PBE calculation of a relaxed structure of CsRb2Au3, from the Alexandria database.

abc: 16.643 16.643 16.643
angles: 90.00 90.00 90.00
Space group Fd-3m (No. 227, origin choice 2)
One atom of each set of equivalent atoms:
Cs: 0.000 0.000 0.000
Rb: 0.015 0.015 0.735
Au: 0.117 0.375 0.375

The value obtained for the calculated formation energy is -0.197 eV/atom. The calculation puts the energy relative to the lowest polymorph listed for this composition at 95 meV/atom. As for the density: 5.2 Mg/m³.

***

# 8
The following is a PBE calculation of a relaxed structure of Mn4Nb2Si5, from the Alexandria database.

abc: 7.274 16.653 5.168
angles: 90.00 90.00 90.00
Space group Ibam (No. 72)
One atom of each set of equivalent atoms:
Mn: 0.119 0.147 0.000
Mn: 0.250 0.065 0.500
Nb: 0.000 0.314 0.250
Si: 0.000 0.000 0.250
Si: 0.101 0.442 0.500
Si: 0.191 0.206 0.500

As for the density: 5.8 Mg/m³. Its raw formation energy is -0.23 eV per atom.